# KCuMoO4 | Alexandria | GGA+U | optimized geometry
# Space-group type: P2_1/m (11)
# Calculated total energy, eV per atom: -6.0193
data_KCuMoO4
_chemical_formula_sum 'K2 Cu2 Mo2 O8'
_cell_length_a 5.861
_cell_length_b 6.061
_cell_length_c 8.453
_cell_angle_alpha 90.00
_cell_angle_beta 120.58
_cell_angle_gamma 90.00
_space_group_name_H-M_alt 'P 1'
_space_group_IT_number 1
loop_
_space_group_symop_operation_xyz
'x,y,z'
loop_
_atom_site_label
_atom_site_type_symbol
_atom_site_fract_x
_atom_site_fract_y
_atom_site_fract_z
K1 K 0.457 0.750 0.880
K2 K 0.543 0.250 0.120
Cu1 Cu 0.799 0.750 0.680
Cu2 Cu 0.201 0.250 0.320
Mo1 Mo 0.195 0.750 0.293
Mo2 Mo 0.805 0.250 0.707
O1 O 0.026 0.490 0.777
O2 O 0.974 0.990 0.223
O3 O 0.974 0.510 0.223
O4 O 0.026 0.010 0.777
O5 O 0.373 0.750 0.176
O6 O 0.627 0.250 0.824
O7 O 0.422 0.750 0.542
O8 O 0.578 0.250 0.458